An optimized crystal structure of LiTbTlCu. Source: Alexandria, functional PBE.

```
LiTbTlCu
1.0
4.766 0.000 0.000
2.383 4.127 0.000
2.383 1.376 3.891
Tl Tb Cu Li
1 1 1 1
Direct
0.500 0.500 0.500
0.000 0.000 0.000
0.250 0.250 0.250
0.750 0.750 0.750
```

Total DFT energy (no corrections) (eV per atom): -3.510
ΔH_f (0 K) (eV per atom): -0.258

An optimized crystal structure of AcMgTl. Source: Alexandria, functional PBE.

```
AcMgTl
1.0
5.006 0.000 0.000
0.000 6.981 -4.031
0.000 0.000 8.061
Ac Mg Tl
3 3 3
Direct
0.500 0.426 0.426
0.500 0.000 0.574
0.500 0.574 0.000
0.000 0.761 0.761
0.000 0.000 0.239
0.000 0.239 0.000
0.000 0.333 0.667
0.000 0.667 0.333
0.500 0.000 0.000
```

Total DFT energy (no corrections) (eV per atom): -3.025
Polymorph energy (0 for the lowest one) (meV per atom): 0
ΔH_f (0 K) (eV per atom): -0.335

An optimized crystal structure of Ga2TePbBr. Source: Alexandria, functional PBE.

```
Ga2TePbBr
1.0
-4.308 -2.487 2.417
0.661 -4.583 -3.539
3.410 -2.342 3.670
Pb Te Ga Br
1 1 2 1
Direct
0.500 0.500 0.500
0.000 0.500 0.000
0.000 0.000 0.500
0.500 0.000 0.000
0.000 0.000 0.000
```

Total DFT energy (no corrections) (eV per atom): -2.577
E_form (uncorrected) (kJ/mol of formula units): 163

An optimized crystal structure of GaAu5. Source: Alexandria, functional PBE.

```
GaAu5
1.0
4.213 0.000 0.000
0.000 4.024 0.000
0.000 -2.012 6.324
Au Ga
5 1
Direct
0.500 0.832 0.664
0.000 0.659 0.318
0.500 0.500 0.000
0.000 0.341 0.682
0.500 0.168 0.336
0.000 0.000 0.000
```

Total DFT energy (no corrections) (eV per atom): -3.287
Polymorph energy (0 for the lowest one) (meV per atom): 5
ΔH_f (0 K) (eV per atom): -0.051

An optimized crystal structure of Pu3Si3Rh. Source: Alexandria, functional PBE.

```
Pu3Si3Rh
1.0
3.985 0.000 0.000
-1.992 5.320 0.000
0.000 0.000 13.120
Pu Si Rh
6 6 2
Direct
0.219 0.438 0.901
0.781 0.562 0.099
0.219 0.438 0.599
0.781 0.562 0.401
0.530 0.061 0.750
0.470 0.939 0.250
0.934 0.868 0.906
0.066 0.132 0.094
0.934 0.868 0.594
0.066 0.132 0.406
0.812 0.623 0.750
0.188 0.377 0.250
0.500 0.000 0.000
0.500 0.000 0.500
```

Total DFT energy (no corrections) (eV per atom): -10.088
E_form (uncorrected) (kJ/mol of formula units): -386

An optimized crystal structure of AgMoAs2. Source: Alexandria, functional PBE.

```
AgMoAs2
1.0
2.799 -0.013 0.000
-0.644 2.724 0.000
0.000 0.000 10.134
Mo As Ag
1 2 1
Direct
0.000 0.000 0.501
0.000 0.000 0.958
0.500 0.500 0.309
0.500 0.500 0.732
```

Total DFT energy (no corrections) (eV per atom): -5.442
Polymorph energy (0 for the lowest one) (meV per atom): 299
ΔH_f (0 K) (eV per atom): 0.303

An optimized crystal structure of KTaH3. Source: Alexandria, functional PBE.

```
KTaH3
1.0
4.083 0.000 0.000
0.000 4.083 0.000
0.000 0.000 4.083
H K Ta
3 1 1
Direct
0.000 0.500 0.000
0.000 0.000 0.500
0.500 0.000 0.000
0.000 0.000 0.000
0.500 0.500 0.500
```

Total DFT energy (no corrections) (eV per atom): -2.986
Polymorph energy (0 for the lowest one) (meV per atom): 1310

An optimized crystal structure of Ce2YPa. Source: Alexandria, functional PBE.

```
Ce2YPa
1.0
-2.357 -1.455 -2.614
-2.824 -2.324 1.065
-7.674 6.456 0.551
Y Pa Ce
1 1 2
Direct
0.000 0.000 0.000
0.500 0.500 0.500
0.111 0.111 0.666
0.889 0.889 0.334
```

Total DFT energy (no corrections) (eV per atom): -6.260
Polymorph energy (0 for the lowest one) (meV per atom): 609
ΔH_f (0 K) (eV per atom): 0.697

An optimized crystal structure of FeRe2Pt. Source: Alexandria, functional PBE.

```
FeRe2Pt
1.0
4.787 0.003 -0.005
-1.772 4.447 -0.005
0.003 0.004 2.679
Fe Pt Re
1 1 2
Direct
0.500 0.000 0.500
0.000 0.500 0.500
0.000 0.000 0.000
0.500 0.500 0.000
```

Total DFT energy (no corrections) (eV per atom): -9.776
Polymorph energy (0 for the lowest one) (meV per atom): 96
ΔH_f (0 K) (eV per atom): 0.074

An optimized crystal structure of NaS. Source: Alexandria, functional PBE.

```
NaS
1.0
7.797 0.000 0.000
0.000 7.797 0.000
0.000 0.000 7.797
Na S
6 6
Direct
0.250 0.500 0.000
0.750 0.500 0.000
0.500 0.000 0.250
0.500 0.000 0.750
0.000 0.250 0.500
0.000 0.750 0.500
0.250 0.000 0.500
0.750 0.000 0.500
0.000 0.500 0.250
0.000 0.500 0.750
0.500 0.250 0.000
0.500 0.750 0.000
```

Total DFT energy (no corrections) (eV per atom): -2.869
Polymorph energy (0 for the lowest one) (meV per atom): 684
E_form (uncorrected) (kJ/mol of formula units): -28

An optimized crystal structure of CsZrMnTe4. Source: Alexandria, functional PBE.

```
CsZrMnTe4
1.0
-3.234 -6.191 0.576
6.182 -3.227 0.033
2.032 3.993 9.729
Cs Zr Mn Te
2 2 2 8
Direct
0.783 0.750 0.962
0.217 0.250 0.038
0.757 0.750 0.452
0.243 0.250 0.548
0.254 0.750 0.350
0.746 0.250 0.650
0.028 0.509 0.680
0.972 0.009 0.320
0.972 0.491 0.320
0.028 0.991 0.680
0.442 0.750 0.181
0.558 0.250 0.819
0.466 0.750 0.597
0.534 0.250 0.403
```

Total DFT energy (no corrections) (eV per atom): -5.066
E_form (uncorrected) (kJ/mol of formula units): -417

An optimized crystal structure of RhC2. Source: Alexandria, functional PBE.

```
RhC2
1.0
-1.957 -1.401 -2.413
-1.352 -1.525 1.982
-2.035 3.339 1.181
C Rh
2 1
Direct
0.258 0.000 0.261
0.592 0.000 0.514
0.709 0.000 0.013
```

Total DFT energy (no corrections) (eV per atom): -7.371
Polymorph energy (0 for the lowest one) (meV per atom): 767
ΔH_f (0 K) (eV per atom): 1.229

An optimized crystal structure of CdP2Cl. Source: Alexandria, functional PBE.

```
CdP2Cl
1.0
-1.617 -2.796 -1.570
-1.043 -1.205 3.220
-5.468 3.435 -0.486
Cd Cl P
1 1 2
Direct
0.500 0.000 0.500
0.000 0.500 0.500
0.000 0.000 0.000
0.500 0.500 0.000
```

Total DFT energy (no corrections) (eV per atom): -3.139
Polymorph energy (0 for the lowest one) (meV per atom): 476
E_form (uncorrected) (kJ/mol of formula units): 99

An optimized crystal structure of LaEr2Ni. Source: Alexandria, functional PBE.

```
LaEr2Ni
1.0
-2.458 -2.244 -1.290
0.949 -3.280 -1.040
-2.303 -5.430 8.898
Ni La Er
1 1 2
Direct
0.500 0.500 0.500
0.000 0.000 0.000
0.112 0.112 0.663
0.888 0.888 0.337
```

Total DFT energy (no corrections) (eV per atom): -4.939
Polymorph energy (0 for the lowest one) (meV per atom): 224
ΔH_f (0 K) (eV per atom): 0.020

An optimized crystal structure of ErGaAu. Source: Alexandria, functional PBE.

```
ErGaAu
1.0
-2.833 -3.551 3.795
-1.956 -5.552 0.621
0.749 -4.871 3.278
Au Er Ga
1 1 1
Direct
0.251 0.251 0.251
0.034 0.034 0.034
0.828 0.828 0.828
```

Total DFT energy (no corrections) (eV per atom): -4.074
ΔH_f (0 K) (eV per atom): -0.452

An optimized crystal structure of LiAcSnAu. Source: Alexandria, functional PBE.

```
LiAcSnAu
1.0
4.722 0.000 0.000
-2.361 4.091 -0.004
0.000 -2.725 5.265
Li Ac Sn Au
1 1 1 1
Direct
0.819 0.638 0.099
0.619 0.238 0.500
0.123 0.245 0.010
0.406 0.812 0.860
```

Total DFT energy (no corrections) (eV per atom): -3.916
Polymorph energy (0 for the lowest one) (meV per atom): 0
ΔH_f (0 K) (eV per atom): -0.590

An optimized crystal structure of MnGePN. Source: Alexandria, functional PBE.

```
MnGePN
1.0
6.626 0.000 0.032
0.000 2.648 0.000
-4.682 0.000 6.618
Mn Ge P N
2 2 2 2
Direct
0.650 0.000 0.929
0.650 0.500 0.429
0.887 0.000 0.322
0.887 0.500 0.822
0.344 0.000 0.581
0.344 0.500 0.081
0.498 0.000 0.473
0.498 0.500 0.973
```

Total DFT energy (no corrections) (eV per atom): -6.790
Polymorph energy (0 for the lowest one) (meV per atom): 101
E_form (uncorrected) (kJ/mol of formula units): 35

An optimized crystal structure of NbTe8Pt2. Source: Alexandria, functional PBE.

```
NbTe8Pt2
1.0
-4.599 -3.095 -1.604
2.759 -1.417 -7.156
3.947 -6.718 -0.335
Nb Te Pt
1 8 2
Direct
0.000 0.000 0.000
0.271 0.310 0.813
0.729 0.187 0.690
0.262 0.812 0.812
0.738 0.188 0.188
0.271 0.813 0.310
0.729 0.690 0.187
0.812 0.617 0.617
0.188 0.383 0.383
0.731 0.820 0.820
0.269 0.180 0.180
```

Total DFT energy (no corrections) (eV per atom): -4.385
E_form (uncorrected) (kJ/mol of formula units): -92

An optimized crystal structure of Pr8Sn5Pb. Source: Alexandria, functional PBE.

```
Pr8Sn5Pb
1.0
1.331 2.634 -7.867
-2.553 -8.004 -0.116
-5.911 4.778 3.582
Pr Sn Pb
8 5 1
Direct
0.125 0.752 0.015
0.985 0.109 0.736
0.761 0.249 0.373
0.627 0.388 0.876
0.488 0.612 0.239
0.627 0.891 0.875
0.264 0.248 0.373
0.124 0.751 0.512
0.001 0.375 0.126
0.874 0.875 0.250
0.750 0.625 0.626
0.500 0.000 0.500
0.374 0.125 0.999
0.250 0.500 0.750
```

Total DFT energy (no corrections) (eV per atom): -5.143
ΔH_f (0 K) (eV per atom): -0.717

An optimized crystal structure of TmSc5Cd6. Source: Alexandria, functional PBE.

```
TmSc5Cd6
1.0
4.821 0.020 -1.407
-0.986 6.310 -3.286
-0.076 0.435 8.708
Sc Tm Cd
5 1 6
Direct
0.665 0.165 0.329
0.332 0.332 0.664
0.000 0.500 0.000
0.668 0.668 0.336
0.335 0.835 0.671
0.000 0.000 0.000
0.830 0.575 0.661
0.830 0.086 0.661
0.500 0.738 0.000
0.500 0.262 0.000
0.170 0.914 0.339
0.170 0.425 0.339
```

Total DFT energy (no corrections) (eV per atom): -3.759
ΔH_f (0 K) (eV per atom): -0.291

Number 1: magnetic moment 0.0 μB/cell. Number 2: magnetic moment 0.0 μB/cell. Number 3: magnetic moment 0.0 μB/cell. Number 4: magnetic moment 0.0 μB/cell. Number 5: magnetic moment 33.3 μB/cell. Number 6: magnetic moment 0.0 μB/cell. Number 7: magnetic moment 2.5 μB/cell. Number 8: magnetic moment 0.3 μB/cell. Number 9: magnetic moment 1.7 μB/cell. Number 10: magnetic moment 6.0 μB/cell. Number 11: magnetic moment 8.0 μB/cell. Number 12: magnetic moment 0.0 μB/cell. Number 13: magnetic moment 0.1 μB/cell. Number 14: magnetic moment 0.0 μB/cell. Number 15: magnetic moment 0.0 μB/cell. Number 16: magnetic moment 0.0 μB/cell. Number 17: magnetic moment 0.7 μB/cell. Number 18: magnetic moment 0.0 μB/cell. Number 19: magnetic moment 0.0 μB/cell. Number 20: magnetic moment 0.0 μB/cell.